No. 1
The following is a PBE calculation of an optimized crystal structure of Ho3BiAsS, from the Alexandria database. Values from VASP.

```
&SYSTEM
  ibrav = 0, nat = 12, ntyp = 4
/
ATOMIC_SPECIES
Ho 164.93 Ho.upf
Bi 208.98 Bi.upf
As 74.92 As.upf
S 32.06 S.upf
CELL_PARAMETERS angstrom
8.4498 0.0000 0.0000
0.0000 4.3191 0.0000
-1.9391 0.0000 9.2950
ATOMIC_POSITIONS crystal
Ho 0.0681 0.2500 0.3504
Ho 0.2791 0.2500 0.9963
Ho 0.3874 0.7500 0.6287
Ho 0.6126 0.2500 0.3713
Ho 0.7209 0.7500 0.0037
Ho 0.9319 0.7500 0.6496
Bi 0.3180 0.7500 0.2816
Bi 0.6820 0.2500 0.7184
As 0.1594 0.2500 0.6529
As 0.8406 0.7500 0.3471
S 0.3930 0.7500 0.9035
S 0.6070 0.2500 0.0965
```

## Properties
Symmetry: P2_1/m, No. 11
Crystal system: monoclinic
Uncorrected formation energy (eV per atom): -1.190
Density of states at the Fermi level (states/eV/cell): 3.8
DFT total energy (eV per atom): -5.59

---

No. 2
The following is a PBE calculation of an optimized crystal structure of Pm3YMg6, from the Alexandria database. Values from VASP.

```
&SYSTEM
  ibrav = 0, nat = 20, ntyp = 3
/
ATOMIC_SPECIES
Pm 145.00 Pm.upf
Y 88.91 Y.upf
Mg 24.30 Mg.upf
CELL_PARAMETERS angstrom
9.4177 0.0000 0.0000
0.0000 5.3169 0.0000
-3.0142 0.0000 10.9659
ATOMIC_POSITIONS crystal
Pm 0.0361 0.2500 0.3959
Pm 0.1483 0.7500 0.2073
Pm 0.2540 0.2500 0.0064
Pm 0.7460 0.7500 0.9936
Pm 0.8517 0.2500 0.7927
Pm 0.9639 0.7500 0.6041
Y 0.4491 0.2500 0.6032
Y 0.5509 0.7500 0.3968
Mg 0.0616 0.7500 0.9011
Mg 0.1666 0.2500 0.7086
Mg 0.2627 0.7500 0.5108
Mg 0.3558 0.7500 0.8062
Mg 0.3599 0.2500 0.3062
Mg 0.4541 0.7500 0.1010
Mg 0.5459 0.2500 0.8990
Mg 0.6401 0.7500 0.6938
Mg 0.6442 0.2500 0.1938
Mg 0.7373 0.2500 0.4892
Mg 0.8334 0.7500 0.2914
Mg 0.9384 0.2500 0.0989
```

## Properties
Symmetry: P2_1/m, No. 11
Crystal system: monoclinic
Density of states at the Fermi level (states/eV/cell): 20.6
DFT total energy (eV per atom): -3.11
Calculated formation energy (eV/atom): -0.08